Record 1
Entry from the Alexandria database: a relaxed structure of ThGa2Ni2Pd (PBE).

a b c (Å): 4.641 4.641 5.402
angles (deg): 90.00 90.00 90.00
Fractional coordinates of all 6 atoms:
1 Th 0.000 0.000 0.500
2 Ni 0.500 0.500 0.733
3 Ni 0.500 0.500 0.267
4 Ga 0.000 0.500 0.000
5 Ga 0.500 0.000 0.000
6 Pd 0.000 0.000 0.000

Symmetry: P4/mmm

=====

Record 2
Entry from the Alexandria database: a relaxed structure of Th2Ga4Ni3Pd (PBE).

a b c (Å): 4.180 4.180 10.126
angles (deg): 90.00 90.00 90.00
Fractional coordinates of all 10 atoms:
1 Ga 0.500 0.000 0.634
2 Th 0.500 0.000 0.243
3 Ni 0.500 0.000 0.869
4 Ni 0.000 0.500 0.131
5 Ga 0.000 0.500 0.366
6 Ni 0.000 0.000 0.500
7 Ga 0.000 0.000 0.000
8 Th 0.000 0.500 0.757
9 Ga 0.500 0.500 0.000
10 Pd 0.500 0.500 0.500

Symmetry: P-4m2

=====

Ordered electronic total energy results: -0.3741 -0.4102; unit Ry per atom.
Ordered M_tot results: 0.000 0.000; unit μB/atom.
Ordered calculated formation energy results: -52 -633; unit meV/atom.